DFT (PBE-GGA) results for an optimized crystal structure of SiHSeN2.

The space group is P4/mmm (No. 123) and the conventional cell measures 4.0077, 4.0077 and 3.1645 Å, with angles of 90.00, 90.00 and 90.00 degrees. The asymmetric unit holds Si at (0.0000, 0.0000, 0.0000), H at (0.5000, 0.5000, 0.5000), Se at (0.5000, 0.5000, 0.0000) and N at (0.0000, 0.5000, 0.5000).

Its magnetic moment is 0.0 μB/cell. The energy relative to the lowest polymorph listed for this composition is 1.0986 eV per atom.

---

DFT (PBE-GGA) results for an optimized crystal structure of TcBC2Cl.

The space group is P4/mmm (No. 123) and the conventional cell measures 3.3157, 3.3157 and 5.7999 Å, with angles of 90.00, 90.00 and 90.00 degrees. The asymmetric unit holds Tc at (0.0000, 0.0000, 0.0000), B at (0.5000, 0.5000, 0.5000), C at (0.0000, 0.5000, 0.5000) and Cl at (0.5000, 0.5000, 0.0000).

Its magnetic moment is 2.2 μB/cell. For the formation energy (no corrections), the calculation gives 1.958 eV/atom.

---

DFT (PBE-GGA) results for an optimized crystal structure of GaS3N.

The space group is Pm-3m (No. 221) and the conventional cell measures 4.7247, 4.7247 and 4.7247 Å, with angles of 90.00, 90.00 and 90.00 degrees. The asymmetric unit holds Ga at (0.0000, 0.0000, 0.0000), S at (0.0000, 0.0000, 0.5000) and N at (0.5000, 0.5000, 0.5000).

Its magnetic moment is 0.9 μB/cell. For the formation energy (no corrections), the calculation gives 1.526 eV/atom. The energy relative to the lowest polymorph listed for this composition is 0.5329 eV per atom.

---

DFT (PBE-GGA) results for an optimized crystal structure of Cs3Na3CdCl8.

The space group is R-3m (No. 166, hexagonal axes) and the conventional cell measures 8.5223, 8.5223 and 23.6086 Å, with angles of 90.00, 90.00 and 120.00 degrees. The asymmetric unit holds Cs at (0.0000, 0.5000, 0.0000), Na at (0.0000, 0.5000, 0.5000), Cd at (0.0000, 0.0000, 0.5000), Cl at (0.0000, 0.0000, 0.2320) and Cl at (0.0246, 0.5123, 0.2281).

Its magnetic moment is 0.0 μB/cell. For the formation energy (no corrections), the calculation gives -1.700 eV/atom.

---

DFT (PBE-GGA) results for an optimized crystal structure of TaNi5Pt2.

The space group is C2/c (No. 15) and the conventional cell measures 13.9122, 4.4820 and 6.9238 Å, with angles of 90.00, 105.56 and 90.00 degrees. The asymmetric unit holds Ta at (0.2500, 0.2500, 0.0000), Ni at (0.0000, 0.1606, 0.2500), Ni at (0.0576, 0.3299, 0.9296), Ni at (0.1736, 0.3096, 0.2984) and Pt at (0.1289, 0.1847, 0.6202).

Its magnetic moment is 2.9 μB/cell.

---

DFT (PBE-GGA) results for an optimized crystal structure of SmSc3.

The space group is Fm-3m (No. 225) and the conventional cell measures 7.5224, 7.5224 and 7.5224 Å, with angles of 90.00, 90.00 and 90.00 degrees. The asymmetric unit holds Sm at (0.0000, 0.0000, 0.0000), Sc at (0.0000, 0.0000, 0.5000) and Sc at (0.2500, 0.2500, 0.2500).

Its magnetic moment is 0.0 μB/cell. The energy relative to the lowest polymorph listed for this composition is 0.0604 eV per atom.

---

DFT (PBE-GGA) results for an optimized crystal structure of TlAg3F4.

The space group is Cmmm (No. 65) and the conventional cell measures 6.6798, 13.2524 and 3.4353 Å, with angles of 90.00, 90.00 and 90.00 degrees. The asymmetric unit holds Tl at (0.0000, 0.0000, 0.0000), Ag at (0.0000, 0.2521, 0.5000), Ag at (0.0000, 0.5000, 0.5000) and F at (0.2449, 0.1231, 0.5000).

Its magnetic moment is 0.0 μB/cell. For the formation energy (no corrections), the calculation gives -1.118 eV/atom.

---

DFT (PBE-GGA) results for an optimized crystal structure of ZrMnInFe.

The space group is F-43m (No. 216) and the conventional cell measures 6.4278, 6.4278 and 6.4278 Å, with angles of 90.00, 90.00 and 90.00 degrees. The asymmetric unit holds Zr at (0.0000, 0.0000, 0.0000), Mn at (0.2500, 0.2500, 0.7500), In at (0.0000, 0.0000, 0.5000) and Fe at (0.2500, 0.2500, 0.2500).

Its magnetic moment is 16.6 μB/cell.

---

DFT (PBE-GGA) results for an optimized crystal structure of Se3Br.

The space group is P4/mmm (No. 123) and the conventional cell measures 4.9854, 4.9854 and 3.4739 Å, with angles of 90.00, 90.00 and 90.00 degrees. The asymmetric unit holds Se at (0.0000, 0.0000, 0.0000), Se at (0.0000, 0.5000, 0.5000) and Br at (0.5000, 0.5000, 0.0000).

Its magnetic moment is 0.0 μB/cell. For the formation energy (no corrections), the calculation gives 0.690 eV/atom. The energy relative to the lowest polymorph listed for this composition is 0.6363 eV per atom.

---

DFT (PBE-GGA) results for an optimized crystal structure of Pm6Nd2Ru.

The space group is Cmmm (No. 65) and the conventional cell measures 9.3860, 17.7068 and 3.6071 Å, with angles of 90.00, 90.00 and 90.00 degrees. The asymmetric unit holds Pm at (0.1652, 0.1662, 0.0000), Pm at (0.2316, 0.0000, 0.5000), Nd at (0.0000, 0.3305, 0.5000) and Ru at (0.0000, 0.0000, 0.0000).

Its magnetic moment is 0.0 μB/cell.

---

DFT (PBE-GGA) results for an optimized crystal structure of PuMnSe3.

The space group is Pnma (No. 62) and the conventional cell measures 8.0441, 3.9100 and 13.5021 Å, with angles of 90.00, 90.00 and 90.00 degrees. The asymmetric unit holds Pu at (0.1024, 0.2500, 0.1725), Mn at (0.1627, 0.7500, 0.4474), Se at (0.0181, 0.7500, 0.6125), Se at (0.1507, 0.7500, 0.0033) and Se at (0.1836, 0.2500, 0.7861).

Its magnetic moment is 6.5 μB/cell. For the formation energy (no corrections), the calculation gives -0.923 eV/atom. The energy relative to the lowest polymorph listed for this composition is 0.0000 eV per atom.

---

DFT (PBE-GGA) results for an optimized crystal structure of Ca2TmHg.

The space group is R-3m (No. 166, hexagonal axes) and the conventional cell measures 3.6415, 3.6415 and 34.9132 Å, with angles of 90.00, 90.00 and 120.00 degrees. The asymmetric unit holds Ca at (0.0000, 0.0000, 0.0981), Tm at (0.0000, 0.0000, 0.0000) and Hg at (0.0000, 0.0000, 0.5000).

Its magnetic moment is 1.9 μB/cell. The energy relative to the lowest polymorph listed for this composition is 0.1902 eV per atom.

---

Number 1: raw total energy -3.835 eV/atom. Number 2: raw total energy -5.509 eV/atom. Number 3: raw total energy -3.220 eV/atom. Number 4: raw total energy -3.181 eV/atom. Number 5: raw total energy -6.827 eV/atom. Number 6: raw total energy -5.823 eV/atom. Number 7: raw total energy -3.419 eV/atom. Number 8: raw total energy -7.253 eV/atom. Number 9: raw total energy -2.342 eV/atom. Number 10: raw total energy -5.118 eV/atom. Number 11: raw total energy -7.714 eV/atom. Number 12: raw total energy -2.135 eV/atom.